1.
Material: Al2TcIr
Method: DFT, SCAN
State: PBEsol geometry

```
data_Al2TcIr
_chemical_formula_sum 'Al8 Tc4 Ir4'
_space_group_name_H-M_alt 'I -4 2 d'
_space_group_IT_number 122
_space_group_name_Hall 'I -4 2bw'
_cell_length_a 6.7389
_cell_length_b 6.7389
_cell_length_c 5.4212
_cell_angle_alpha 90.00
_cell_angle_beta 90.00
_cell_angle_gamma 90.00
loop_
_atom_site_label
_atom_site_fract_x
_atom_site_fract_y
_atom_site_fract_z
Al1 0.2357 0.2500 0.1250
Tc1 0.0000 0.0000 0.5000
Ir1 0.0000 0.0000 0.0000
```

Calculated values
Fermi-level density of states	10.178	states/eV/cell
formation enthalpy at 0 K	34	meV per atom
crystal system	tetragonal
E above lowest polymorph	885	meV per atom

2.
Material: AlTc3Ir
Method: DFT, SCAN
State: PBEsol geometry

```
data_AlTc3Ir
_chemical_formula_sum 'Al1 Tc3 Ir1'
_space_group_name_H-M_alt 'P m -3 m'
_space_group_IT_number 221
_space_group_name_Hall '-P 4 2 3'
_cell_length_a 4.2897
_cell_length_b 4.2897
_cell_length_c 4.2897
_cell_angle_alpha 90.00
_cell_angle_beta 90.00
_cell_angle_gamma 90.00
loop_
_atom_site_label
_atom_site_fract_x
_atom_site_fract_y
_atom_site_fract_z
Al1 0.0000 0.0000 0.0000
Tc1 0.0000 0.0000 0.5000
Ir1 0.5000 0.5000 0.5000
```

Calculated values
Fermi-level density of states	4.972	states/eV/cell
formation enthalpy at 0 K	1456	meV per atom
crystal system	cubic

- What is the formation enthalpy at 0 K in the second record?
  1456 meV per atom

- What is the formula in the first record?
  Al2TcIr

- The lowest Fermi-level density of states belongs to which entry?
  AlTc3Ir

Copy entry 2 word for word.
Material: AlTc3Ir
Method: DFT, SCAN
State: PBEsol geometry

```
data_AlTc3Ir
_chemical_formula_sum 'Al1 Tc3 Ir1'
_space_group_name_H-M_alt 'P m -3 m'
_space_group_IT_number 221
_space_group_name_Hall '-P 4 2 3'
_cell_length_a 4.2897
_cell_length_b 4.2897
_cell_length_c 4.2897
_cell_angle_alpha 90.00
_cell_angle_beta 90.00
_cell_angle_gamma 90.00
loop_
_atom_site_label
_atom_site_fract_x
_atom_site_fract_y
_atom_site_fract_z
Al1 0.0000 0.0000 0.0000
Tc1 0.0000 0.0000 0.5000
Ir1 0.5000 0.5000 0.5000
```

Calculated values
Fermi-level density of states	4.972	states/eV/cell
formation enthalpy at 0 K	1456	meV per atom
crystal system	cubic